[1]
CuAg4: optimized geometry, PBE-GGA.

Properties
space-group type	C2/m
energy relative to the lowest polymorph listed for this composition	2.9	kJ per mole of atoms
formation enthalpy at 0 K	0.055	eV/atom

a b c (Å): 7.643 7.643 5.799
angles (deg): 101.82 101.82 30.60
Fractional positions:
Ag1 0.000 0.000 0.000
Ag2 0.204 0.204 0.111
Ag3 0.398 0.398 0.202
Ag4 0.607 0.607 0.312
Ag5 0.000 0.000 0.500
Ag6 0.393 0.393 0.688
Ag7 0.602 0.602 0.798
Ag8 0.796 0.796 0.889
Cu1 0.797 0.797 0.405
Cu2 0.203 0.203 0.595

=====

[2]
Pr2SmCu4Si4: optimized geometry, PBE-GGA.

Properties
space-group type	Immm
magnetization	0.000	Bohr magnetons per cell
total DFT energy (no corrections)	-57.5	eV/cell

a b c (Å): 12.275 12.275 12.275
angles (deg): 160.56 160.45 27.70
Fractional positions:
Cu1 0.250 0.250 0.000
Cu2 0.750 0.750 0.000
Cu3 0.597 0.097 0.500
Cu4 0.403 0.903 0.500
Pr1 0.849 0.349 0.500
Pr2 0.151 0.651 0.500
Si1 0.450 0.450 0.000
Si2 0.550 0.550 0.000
Si3 0.696 0.196 0.500
Si4 0.304 0.804 0.500
Sm1 0.000 0.000 0.000

=====

[3]
GdScFe4: optimized geometry, PBE-GGA.

Properties
space-group type	F-43m
magnetization	5.914	Bohr magnetons per cell
formation enthalpy at 0 K	-0.130	eV/atom

a b c (Å): 5.022 5.022 5.022
angles (deg): 60.00 60.00 60.00
Fractional positions:
Fe1 0.625 0.625 0.124
Fe2 0.625 0.124 0.625
Fe3 0.625 0.625 0.625
Fe4 0.124 0.625 0.625
Gd1 0.250 0.250 0.250
Sc1 0.000 0.000 0.000

=====

[4]
InFe2Ge: optimized geometry, PBE-GGA.

Properties
space-group type	Pm-3m
magnetization	14.405	Bohr magnetons per cell
total DFT energy (no corrections)	-92.8	eV/cell

a b c (Å): 6.159 6.159 6.159
angles (deg): 90.00 90.00 90.00
Fractional positions:
Fe1 0.277 0.277 0.277
Fe2 0.723 0.277 0.277
Fe3 0.277 0.723 0.277
Fe4 0.723 0.723 0.277
Fe5 0.277 0.277 0.723
Fe6 0.723 0.277 0.723
Fe7 0.277 0.723 0.723
Fe8 0.723 0.723 0.723
Ge1 0.500 0.500 0.000
Ge2 0.500 0.000 0.500
Ge3 0.000 0.500 0.500
Ge4 0.500 0.500 0.500
In1 0.000 0.000 0.000
In2 0.500 0.000 0.000
In3 0.000 0.500 0.000
In4 0.000 0.000 0.500

=====

[5]
NdCd20Pt2: optimized geometry, PBE-GGA.

Properties
space-group type	Fd-3m
magnetization	0.011	Bohr magnetons per cell
formation enthalpy at 0 K	-0.193	eV/atom

a b c (Å): 11.120 11.120 11.120
angles (deg): 60.00 60.00 60.00
Fractional positions:
Cd1 0.388 0.112 0.112
Cd2 0.112 0.388 0.112
Cd3 0.388 0.388 0.112
Cd4 0.625 0.625 0.125
Cd5 0.862 0.138 0.138
Cd6 0.138 0.862 0.138
Cd7 0.862 0.862 0.138
Cd8 0.568 0.303 0.303
Cd9 0.826 0.303 0.303
Cd10 0.303 0.568 0.303
Cd11 0.826 0.568 0.303
Cd12 0.303 0.826 0.303
Cd13 0.568 0.826 0.303
Cd14 0.388 0.112 0.388
Cd15 0.112 0.388 0.388
Cd16 0.112 0.112 0.388
Cd17 0.682 0.947 0.424
Cd18 0.947 0.682 0.424
Cd19 0.947 0.947 0.424
Cd20 0.303 0.303 0.568
Cd21 0.826 0.303 0.568
Cd22 0.303 0.826 0.568
Cd23 0.625 0.125 0.625
Cd24 0.125 0.625 0.625
Cd25 0.625 0.625 0.625
Cd26 0.947 0.424 0.682
Cd27 0.424 0.947 0.682
Cd28 0.947 0.947 0.682
Cd29 0.303 0.303 0.826
Cd30 0.303 0.568 0.826
Cd31 0.568 0.303 0.826
Cd32 0.862 0.138 0.862
Cd33 0.138 0.862 0.862
Cd34 0.138 0.138 0.862
Cd35 0.682 0.947 0.947
Cd36 0.682 0.424 0.947
Cd37 0.947 0.424 0.947
Cd38 0.424 0.682 0.947
Cd39 0.947 0.682 0.947
Cd40 0.424 0.947 0.947
Nd1 0.500 0.500 0.500
Nd2 0.750 0.750 0.750
Pt1 0.125 0.125 0.125
Pt2 0.625 0.125 0.125
Pt3 0.125 0.625 0.125
Pt4 0.125 0.125 0.625

=====

[6]
Cu2Ag3: optimized geometry, PBE-GGA.

Properties
space-group type	Amm2
energy relative to the lowest polymorph listed for this composition	4.9	kJ per mole of atoms
formation enthalpy at 0 K	0.083	eV/atom

a b c (Å): 3.993 9.963 9.963
angles (deg): 23.12 90.00 90.00
Fractional positions:
Ag1 0.000 0.093 0.093
Ag2 0.500 0.198 0.198
Ag3 0.000 0.303 0.303
Ag4 0.500 0.408 0.408
Ag5 0.500 0.593 0.593
Ag6 0.500 0.803 0.803
Cu1 0.000 0.497 0.497
Cu2 0.000 0.698 0.698
Cu3 0.000 0.911 0.911
Cu4 0.500 0.997 0.997

=====

[7]
Ta2B2Mo: optimized geometry, PBE-GGA.

Properties
space-group type	P4/mbm
magnetization	0.000	Bohr magnetons per cell
total DFT energy (no corrections)	-102.9	eV/cell

a b c (Å): 6.111 6.111 3.282
angles (deg): 90.00 90.00 90.00
Fractional positions:
B1 0.609 0.109 0.000
B2 0.109 0.391 0.000
B3 0.891 0.609 0.000
B4 0.391 0.891 0.000
Mo1 0.000 0.000 0.000
Mo2 0.500 0.500 0.000
Ta1 0.322 0.178 0.500
Ta2 0.822 0.322 0.500
Ta3 0.178 0.678 0.500
Ta4 0.678 0.822 0.500

=====

[8]
ErTlFeSe3: optimized geometry, PBE-GGA.

Properties
space-group type	Cmcm
energy relative to the lowest polymorph listed for this composition	0.0	kJ per mole of atoms
magnetization	7.993	Bohr magnetons per cell

a b c (Å): 7.714 7.714 10.673
angles (deg): 90.00 90.00 30.55
Fractional positions:
Er1 0.000 0.000 0.000
Er2 0.000 0.000 0.500
Fe1 0.469 0.469 0.250
Fe2 0.531 0.531 0.750
Se1 0.374 0.374 0.066
Se2 0.067 0.067 0.250
Se3 0.374 0.374 0.434
Se4 0.626 0.626 0.566
Se5 0.933 0.933 0.750
Se6 0.626 0.626 0.934
Tl1 0.752 0.752 0.250
Tl2 0.248 0.248 0.750

=====

[9]
Co7Re8: optimized geometry, PBE-GGA.

Properties
space-group type	P4_2/mnm
energy relative to the lowest polymorph listed for this composition	0.0	kJ per mole of atoms
magnetization	9.036	Bohr magnetons per cell
formation enthalpy at 0 K	0.106	eV/atom

a b c (Å): 8.922 8.922 4.853
angles (deg): 90.00 90.00 90.00
Fractional positions:
Co1 0.000 0.000 0.000
Co2 0.745 0.067 0.000
Co3 0.933 0.255 0.000
Co4 0.408 0.408 0.000
Co5 0.592 0.592 0.000
Co6 0.067 0.745 0.000
Co7 0.255 0.933 0.000
Co8 0.908 0.092 0.500
Co9 0.433 0.245 0.500
Co10 0.245 0.433 0.500
Co11 0.500 0.500 0.500
Co12 0.755 0.567 0.500
Co13 0.567 0.755 0.500
Co14 0.092 0.908 0.500
Re1 0.462 0.136 0.000
Re2 0.136 0.462 0.000
Re3 0.864 0.538 0.000
Re4 0.538 0.864 0.000
Re5 0.682 0.318 0.250
Re6 0.318 0.682 0.250
Re7 0.182 0.182 0.250
Re8 0.818 0.818 0.250
Re9 0.636 0.038 0.500
Re10 0.962 0.364 0.500
Re11 0.038 0.636 0.500
Re12 0.364 0.962 0.500
Re13 0.182 0.182 0.750
Re14 0.818 0.818 0.750
Re15 0.682 0.318 0.750
Re16 0.318 0.682 0.750

=====

[10]
SmOsO4: optimized geometry, PBE-GGA.

Properties
space-group type	I4_1/amd
magnetization	5.313	Bohr magnetons per cell
total DFT energy (no corrections)	-93.5	eV/cell

a b c (Å): 6.128 6.128 6.128
angles (deg): 108.42 108.42 111.60
Fractional positions:
O1 0.478 0.302 0.176
O2 0.698 0.874 0.176
O3 0.052 0.376 0.324
O4 0.272 0.948 0.324
O5 0.052 0.728 0.676
O6 0.624 0.948 0.676
O7 0.126 0.302 0.824
O8 0.698 0.522 0.824
Os1 0.500 0.500 0.000
Os2 0.250 0.750 0.500
Sm1 0.000 0.000 0.000
Sm2 0.750 0.250 0.500

=====

[11]
KAuSe: optimized geometry, PBE-GGA.

Properties
space-group type	Amm2
total DFT energy (no corrections)	-20.2	eV/cell

a b c (Å): 7.136 5.278 5.278
angles (deg): 76.90 90.00 90.00
Fractional positions:
Au1 0.250 0.999 0.999
Au2 0.750 0.999 0.999
K1 0.500 0.367 0.367
K2 0.000 0.638 0.638
Se1 0.000 0.203 0.203
Se2 0.500 0.794 0.794

=====

[12]
Tm2SnO4: optimized geometry, PBE-GGA.

Properties
space-group type	Pbam
energy relative to the lowest polymorph listed for this composition	18.5	kJ per mole of atoms
magnetization	0.001	Bohr magnetons per cell

a b c (Å): 5.919 9.879 3.331
angles (deg): 90.00 90.00 90.00
Fractional positions:
O1 0.789 0.235 0.000
O2 0.289 0.265 0.000
O3 0.711 0.735 0.000
O4 0.211 0.765 0.000
O5 0.283 0.016 0.500
O6 0.783 0.484 0.500
O7 0.217 0.516 0.500
O8 0.717 0.984 0.500
Sn1 0.000 0.000 0.000
Sn2 0.500 0.500 0.000
Tm1 0.534 0.173 0.500
Tm2 0.034 0.327 0.500
Tm3 0.966 0.673 0.500
Tm4 0.466 0.827 0.500

=====

[13]
BeNbAsW: optimized geometry, PBE-GGA.

Properties
space-group type	F-43m
energy relative to the lowest polymorph listed for this composition	15.3	kJ per mole of atoms
magnetization	0.006	Bohr magnetons per cell

a b c (Å): 4.387 4.387 4.387
angles (deg): 60.00 60.00 60.00
Fractional positions:
As1 0.000 0.000 0.000
Be1 0.750 0.750 0.750
Nb1 0.500 0.500 0.500
W1 0.250 0.250 0.250

=====

[14]
ZnAgAsO: optimized geometry, PBE-GGA.

Properties
space-group type	P4/nmm
energy relative to the lowest polymorph listed for this composition	46.8	kJ per mole of atoms

a b c (Å): 4.269 4.269 7.841
angles (deg): 90.00 90.00 90.00
Fractional positions:
Ag1 0.000 0.500 0.050
Ag2 0.500 0.000 0.950
As1 0.500 0.000 0.323
As2 0.000 0.500 0.677
O1 0.000 0.000 0.000
O2 0.500 0.500 0.000
Zn1 0.000 0.000 0.500
Zn2 0.500 0.500 0.500

=====

[15]
CoGeBi2: optimized geometry, PBE-GGA.

Properties
space-group type	F-43m
magnetization	1.394	Bohr magnetons per cell
total DFT energy (no corrections)	-17.1	eV/cell

a b c (Å): 5.056 5.056 5.056
angles (deg): 60.00 60.00 60.00
Fractional positions:
Bi1 0.000 0.000 0.000
Bi2 0.750 0.750 0.750
Co1 0.250 0.250 0.250
Ge1 0.500 0.500 0.500

=====

[16]
Pr2Sm2BIBr4: optimized geometry, PBE-GGA.

Properties
space-group type	C2/m
magnetization	0.005	Bohr magnetons per cell
total DFT energy (no corrections)	-47.4	eV/cell

a b c (Å): 9.437 9.437 8.979
angles (deg): 102.93 102.93 25.10
Fractional positions:
B1 0.500 0.500 0.000
Br1 0.827 0.827 0.149
Br2 0.168 0.168 0.315
Br3 0.832 0.832 0.685
Br4 0.173 0.173 0.851
I1 0.500 0.500 0.500
Pr1 0.999 0.999 0.203
Pr2 0.001 0.001 0.797
Sm1 0.644 0.644 0.074
Sm2 0.356 0.356 0.926